A relaxed structure of Ca2Pr3NpN6, computed with GGA-PBE.

Properties
**Crystal system**: monoclinic

Lattice parameters (Å, degrees): 6.200 10.709 6.196 90.00 109.39 90.00
Space group C2/m (No. 12)
Inequivalent atoms, fractional coordinates:
Ca  0.000  0.166  0.000 [4 per cell]
Pr  0.000  0.000  0.500 [2 per cell]
Pr  0.000  0.333  0.500 [4 per cell]
Np  0.000  0.500  0.000 [2 per cell]
N  0.217  0.500  0.764 [4 per cell]
N  0.222  0.354  0.228 [8 per cell]



A relaxed structure of Ca3Np3PtN8, computed with GGA-PBE.

Properties
**Crystal system**: trigonal

Lattice parameters (Å, degrees): 6.7160 6.7160 17.0816 90.00 90.00 120.00
Space group R-3m (No. 166, hexagonal axes)
Inequivalent atoms, fractional coordinates:
Ca  0.0000  0.5000  0.0000 [9 per cell]
Np  0.0000  0.5000  0.5000 [9 per cell]
Pt  0.0000  0.0000  0.5000 [3 per cell]
N  0.0000  0.0000  0.2420 [6 per cell]
N  0.0016  0.5008  0.2347 [18 per cell]



A relaxed structure of Ca2Pu3NpN6, computed with GGA-PBE.

Properties
**Crystal system**: monoclinic

Lattice parameters (Å, degrees): 6.042 10.449 6.026 90.00 109.39 90.00
Space group C2/m (No. 12)
Inequivalent atoms, fractional coordinates:
Ca  0.000  0.166  0.000 [4 per cell]
Pu  0.000  0.000  0.500 [2 per cell]
Pu  0.000  0.331  0.500 [4 per cell]
Np  0.000  0.500  0.000 [2 per cell]
N  0.218  0.500  0.739 [4 per cell]
N  0.238  0.348  0.258 [8 per cell]



A relaxed structure of Ca4PuNp3N8, computed with GGA-PBE.

Properties
**Crystal system**: trigonal

Lattice parameters (Å, degrees): 6.9874 6.9874 17.0358 90.00 90.00 120.00
Space group R-3m (No. 166, hexagonal axes)
Inequivalent atoms, fractional coordinates:
Ca  0.0000  0.0000  0.0000 [3 per cell]
Ca  0.0000  0.5000  0.0000 [9 per cell]
Pu  0.0000  0.0000  0.5000 [3 per cell]
Np  0.0000  0.5000  0.5000 [9 per cell]
N  0.0000  0.0000  0.2384 [6 per cell]
N  0.0080  0.5040  0.7627 [18 per cell]



no.,ρ (kg/m3),formation energy without anion corrections (eV/atom)
1,7051,-1.2178
2,8499,-0.8034
3,10487,-1.2062
4,8488,-1.1807